Record 1
# Tb8Y6Tm

Tb8Y6Tm after structural relaxation (GGA-PBE, Alexandria).

Unit cell a=9.0522 b=9.0522 c=20.6081 alpha=90.00 beta=90.00 gamma=120.00
Closest atoms and distances in Å follow each position.
Space group R-3 (No. 148, hexagonal axes)
One atom of each set of equivalent atoms:
Tb1 0.0000 0.0000 0.0766 [6 per cell]  4 Tb 3.16-3.42, 3 Y 3.37
Tb2 0.0818 0.5544 0.3076 [18 per cell]  3 Y 3.39-3.76, 5 Tb 3.42, 1 Tm 3.51
Y1 0.0581 0.2473 0.2070 [18 per cell]  4 Tb 3.37-3.76, 1 Tm 3.44, 4 Y 3.51-3.73
Tm1 0.0000 0.0000 0.5000 [3 per cell]  6 Y 3.44, 6 Tb 3.51

## Properties
Its formation enthalpy at 0 K is 119 meV/atom. The value obtained for the relative energy among the computed polymorphs is 0.0000 eV per atom. As for the total energy: -78.52 eV per formula unit.

=====

Record 2
# Lu5Pu

Lu5Pu after structural relaxation (GGA-PBE, Alexandria).

Unit cell a=4.8930 b=14.4441 c=4.8847 alpha=90.00 beta=90.00 gamma=90.00
Closest atoms and distances in Å follow each position.
Space group Cmmm (No. 65)
One atom of each set of equivalent atoms:
Lu1 0.0000 0.0000 0.0000 [2 per cell]  8 Lu 3.41-3.42, 4 Pu 3.46
Lu2 0.0000 0.1653 0.5000 [4 per cell]  10 Lu 3.42-3.47, 2 Pu 3.42
Lu3 0.0000 0.3356 0.0000 [4 per cell]  2 Pu 3.41, 10 Lu 3.41-3.48
Pu1 0.0000 0.5000 0.5000 [2 per cell]  12 Lu 3.41-3.46

## Properties
Its formation enthalpy at 0 K is 74 meV/atom. As for the total energy: -36.49 eV per formula unit.

=====

Record 3
# NaMg14Cr

NaMg14Cr after structural relaxation (GGA-PBE, Alexandria).

Unit cell a=10.4453 b=6.3720 c=10.9893 alpha=90.00 beta=90.00 gamma=90.00
Closest atoms and distances in Å follow each position.
Space group Amm2 (No. 38)
One atom of each set of equivalent atoms:
Na1 0.0000 0.0000 0.0000 [2 per cell]  10 Mg 3.17-3.23, 2 Cr 3.19
Mg1 0.0000 0.2472 0.7502 [4 per cell]  8 Mg 3.13-3.22, 2 Cr 3.15-3.20, 2 Na 3.17-3.19
Mg2 0.2404 0.0000 0.3364 [4 per cell]  1 Cr 3.10, 11 Mg 3.13-3.28
Mg3 0.2464 0.2452 0.5836 [8 per cell]  10 Mg 3.13-3.25, 1 Cr 3.14, 1 Na 3.18
Mg4 0.2543 0.0000 0.8334 [4 per cell]  11 Mg 3.16-3.22, 1 Na 3.23
Mg5 0.5000 0.0000 0.0020 [2 per cell]  12 Mg 3.16-3.23
Mg6 0.5000 0.0000 0.5007 [2 per cell]  12 Mg 3.17-3.26
Mg7 0.5000 0.2483 0.2508 [4 per cell]  12 Mg 3.16-3.28
Cr1 0.0000 0.0000 0.5019 [2 per cell]  10 Mg 3.10-3.20, 2 Na 3.19

## Properties
Its formation enthalpy at 0 K is 93 meV/atom. The value obtained for the relative energy among the computed polymorphs is 0.0080 eV per atom. As for the total energy: -31.78 eV per formula unit.

=====

Record 4
# La2Ti3O9

La2Ti3O9 after structural relaxation (GGA-PBE, Alexandria).

Unit cell a=16.5278 b=5.5051 c=9.5940 alpha=90.00 beta=125.07 gamma=90.00
Closest atoms and distances in Å follow each position.
Space group C2/m (No. 12)
One atom of each set of equivalent atoms:
La1 0.0000 0.0000 0.0000 [2 per cell]  12 O 2.56-2.84
La2 0.0000 0.5000 0.5000 [2 per cell]  12 O 2.63-2.86
La3 0.1677 0.0000 0.5002 [4 per cell]  12 O 2.63-2.78
Ti1 0.0822 0.5000 0.2450 [4 per cell]  6 O 1.92-2.01
Ti2 0.0902 0.0000 0.7587 [4 per cell]  6 O 1.88-2.03
Ti3 0.2476 0.0000 0.2327 [4 per cell]  5 O 1.87-2.00
O1 0.0000 0.0000 0.5000 [2 per cell]  2 Ti 2.03
O2 0.0000 0.5000 0.0000 [2 per cell]  2 Ti 1.92
O3 0.0088 0.2428 0.2696 [8 per cell]  2 Ti 1.97-2.01
O4 0.1535 0.0000 0.9963 [4 per cell]  2 Ti 1.87-1.88
O5 0.1591 0.2512 0.7247 [8 per cell]  2 Ti 1.92-1.93
O6 0.1652 0.2387 0.2569 [8 per cell]  2 Ti 1.94-2.00
O7 0.1730 0.5000 0.5005 [4 per cell]  2 Ti 2.01-2.10

## Properties
The formation energy (no corrections) is -3.239 eV/atom. The value obtained for the relative energy among the computed polymorphs is 0.0052 eV per atom. As for the total energy: -123.51 eV per formula unit.

=====

Record 5
# Zr2Ti2ZnIr5

Zr2Ti2ZnIr5 after structural relaxation (GGA-PBE, Alexandria).

Unit cell a=9.4713 b=9.4713 c=3.7177 alpha=90.00 beta=90.00 gamma=90.00
Closest atoms and distances in Å follow each position.
Space group P4/mbm (No. 127)
One atom of each set of equivalent atoms:
Zr1 0.1780 0.3220 0.0000 [4 per cell]  3 Ti 2.67-2.90
Ti1 0.1226 0.6226 0.0000 [4 per cell]  6 Ir 2.48-2.56, 1 Zr 2.67
Zn1 0.0000 0.0000 0.0000 [2 per cell]  8 Ir 2.73
Ir1 0.0000 0.5000 0.5000 [2 per cell]  4 Ti 2.48
Ir2 0.0615 0.7974 0.5000 [8 per cell]  2 Ti 2.56, 2 Zn 2.73, 2 Ir 2.84

## Properties
Its formation enthalpy at 0 K is -500 meV/atom. As for the total energy: -83.47 eV per formula unit.

=====

Record 6
# Sr2LiMgO

Sr2LiMgO after structural relaxation (GGA-PBE, Alexandria).

Unit cell a=5.2543 b=5.2543 c=4.6129 alpha=90.00 beta=90.00 gamma=90.00
Closest atoms and distances in Å follow each position.
Space group P4/mmm (No. 123)
One atom of each set of equivalent atoms:
Sr1 0.0000 0.5000 0.0000 [2 per cell]  2 O 2.63
Li1 0.0000 0.0000 0.5000 [1 per cell]  2 O 2.31
Mg1 0.5000 0.5000 0.5000 [1 per cell]  8 Sr 3.50, 4 Li 3.72
O1 0.0000 0.0000 0.0000 [1 per cell]  2 Li 2.31

## Properties
The formation energy (no corrections) is -0.941 eV/atom. As for the total energy: -16.53 eV per formula unit.

=====

What is the formula in the fifth record? Zr2Ti2ZnIr5